# 1
## Sr2TaRu (PBE)

Data for a relaxed structure of Sr2TaRu.

Structure (extended XYZ):
```
8
Lattice="-0.412 5.715 -10.080 -6.309 -8.571 -4.602 -5.329 -0.350 -6.649" Properties=species:S:1:pos:R:3 pbc="T T T"
Ru -3.361 -1.428 -7.341
Ru -7.499 -5.174 -9.296
Sr -2.309 1.454 -6.846
Sr -5.396 -3.771 -7.489
Sr -7.576 -2.771 -11.264
Sr -8.820 -1.323 -17.061
Ta 0.000 0.000 0.000
Ta -4.551 1.969 -12.035
```

Output
SG: No. 122

---

# 2
## SrTa3Ru (PBE)

Data for a relaxed structure of SrTa3Ru.

Structure (extended XYZ):
```
5
Lattice="4.748 0.000 0.000 0.000 4.748 0.000 0.000 0.000 4.748" Properties=species:S:1:pos:R:3 pbc="T T T"
Ru 2.374 2.374 2.374
Sr 0.000 0.000 0.000
Ta 0.000 2.374 0.000
Ta 0.000 0.000 2.374
Ta 2.374 0.000 0.000
```

Output
SG: No. 221

---

Computed values of total moment (unit: μB/cell) for the preceding records, in sequence: 1.77; 0.00.
Computed values of N(E_F) (unit: states/eV/cell) for the preceding records, in sequence: 10.27; 8.47.
Computed values of DFT formation energy (unit: eV per atom) for the preceding records, in sequence: 0.79; 3.14.